DFT (PBE-GGA) results for a relaxed structure of UNi3Ge2.

abc: 5.3608 5.2759 7.5714
angles: 110.39 110.73 90.00
Last column: nearest neighbours and their distance in Å.
Fractional positions:
1 Ni 0.1965 0.9465 0.3931  4 Ge 2.41-2.50, 2 Ni 2.64
2 Ni 0.8035 0.0535 0.6069  4 Ge 2.41-2.50, 2 Ni 2.64
3 Ni 0.5000 0.2500 0.0000  4 Ge 2.53, 2 Ni 2.64
4 Ni 0.5000 0.7500 0.0000  4 Ge 2.53, 2 Ni 2.64
5 Ni 0.1965 0.4465 0.3931  4 Ge 2.41-2.50, 2 Ni 2.64
6 Ni 0.8035 0.5535 0.6069  4 Ge 2.41-2.50, 2 Ni 2.64
7 U 0.0000 0.5000 0.0000  2 U 2.64, 4 Ni 2.90, 2 Ge 2.92
8 U 0.0000 0.0000 0.0000  2 U 2.64, 4 Ni 2.90, 2 Ge 2.92
9 Ge 0.4577 0.3423 0.6845  6 Ni 2.41-2.53
10 Ge 0.2268 0.8423 0.6845  6 Ni 2.41-2.53
11 Ge 0.7732 0.1577 0.3155  6 Ni 2.41-2.53
12 Ge 0.5423 0.6577 0.3155  6 Ni 2.41-2.53

Values from the calculation:
Formation energy = -38 meV/atom
Total moment = 2.68 μB/f.u.
Total DFT energy (no corrections) = -6.35 eV/atom

***

DFT (PBE-GGA) results for a relaxed structure of Ba2ScW.

abc: 4.7191 4.7163 5.3986
angles: 90.00 90.00 90.00
Last column: nearest neighbours and their distance in Å.
Fractional positions:
1 Ba 0.0000 0.0000 0.0000  4 Ba 3.34, 4 W 3.58, 4 Sc 3.59
2 Ba 0.5000 0.5000 0.0000  4 Ba 3.34, 4 Sc 3.58, 4 W 3.59
3 Sc 0.5000 0.0000 0.5000  4 W 3.34, 8 Ba 3.58-3.59
4 W 0.0000 0.5000 0.5000  4 Sc 3.34, 8 Ba 3.58-3.59

Values from the calculation:
Formation energy = 1211 meV/atom
Polymorph energy (0 for the lowest one) = 523 meV per atom
Total moment = 0.02 μB/f.u.
Total DFT energy (no corrections) = -4.57 eV/atom

***

DFT (PBE-GGA) results for a relaxed structure of CdNi12B6.

abc: 6.0229 6.0229 6.0229
angles: 105.04 105.04 105.04
Last column: nearest neighbours and their distance in Å.
Fractional positions:
1 Ni 0.5530 0.8173 0.5530  3 B 2.06-2.08
2 Ni 0.1827 0.4470 0.4470  3 B 2.06-2.08
3 Ni 0.5000 0.1303 0.8697  4 B 2.06-2.07
4 Ni 0.1303 0.8697 0.5000  4 B 2.06-2.07
5 Ni 0.4470 0.4470 0.1827  3 B 2.06-2.08
6 Ni 0.8173 0.5530 0.5530  3 B 2.06-2.08
7 Ni 0.8697 0.5000 0.1303  4 B 2.06-2.07
8 Ni 0.1303 0.5000 0.8697  4 B 2.06-2.07
9 Ni 0.8697 0.1303 0.5000  4 B 2.06-2.07
10 Ni 0.4470 0.1827 0.4470  3 B 2.06-2.08
11 Ni 0.5000 0.8697 0.1303  4 B 2.06-2.07
12 Ni 0.5530 0.5530 0.8173  3 B 2.06-2.08
13 B 0.7570 0.3268 0.7570  7 Ni 2.06-2.08
14 B 0.2430 0.6732 0.2430  7 Ni 2.06-2.08
15 B 0.7570 0.7570 0.3268  7 Ni 2.06-2.08
16 B 0.2430 0.2430 0.6732  7 Ni 2.06-2.08
17 B 0.3268 0.7570 0.7570  7 Ni 2.06-2.08
18 B 0.6732 0.2430 0.2430  7 Ni 2.06-2.08
19 Cd 0.0000 0.0000 0.0000  18 Ni 2.98-3.26, 6 B 3.17

Values from the calculation:
Formation energy = -223 meV/atom
Total moment = 0.00 μB/f.u.
Total DFT energy (no corrections) = -6.03 eV/atom

***

DFT (PBE-GGA) results for a relaxed structure of Rh2WAu.

abc: 2.8155 2.8155 7.8961
angles: 90.00 90.00 90.00
Last column: nearest neighbours and their distance in Å.
Fractional positions:
1 Rh 0.0000 0.0000 0.4803  4 W 2.70, 4 Rh 2.82, 4 Au 2.92
2 Rh 0.0000 0.0000 0.0197  4 W 2.70, 4 Rh 2.82, 4 Au 2.92
3 W 0.5000 0.5000 0.2500  8 Rh 2.70, 4 W 2.82
4 Au 0.5000 0.5000 0.7500  4 Au 2.82, 8 Rh 2.92

Values from the calculation:
Formation energy = -98 meV/atom
Polymorph energy (0 for the lowest one) = 0 meV per atom
Total moment = 0.00 μB/f.u.
Total DFT energy (no corrections) = -7.83 eV/atom

***

DFT (PBE-GGA) results for a relaxed structure of Nd4HPd2.

abc: 4.7305 4.7305 8.3919
angles: 73.63 73.63 90.00
Last column: nearest neighbours and their distance in Å.
Fractional positions:
1 Nd 0.5000 0.0000 0.0000  2 H 2.37
2 Nd 0.0000 0.5000 0.0000  2 H 2.37
3 Nd 0.8131 0.8131 0.3738  1 Pd 2.77, 1 H 2.88
4 Nd 0.1869 0.1869 0.6262  1 Pd 2.77, 1 H 2.88
5 Pd 0.6334 0.6334 0.7332  1 Nd 2.77
6 Pd 0.3666 0.3666 0.2668  1 Nd 2.77
7 H 0.0000 0.0000 0.0000  4 Nd 2.37

Values from the calculation:
Total moment = 0.00 μB/f.u.
Total DFT energy (no corrections) = -5.15 eV/atom

***

DFT (PBE-GGA) results for a relaxed structure of Hf3O.

abc: 2.9910 3.0850 7.7935
angles: 90.00 90.00 90.00
Last column: nearest neighbours and their distance in Å.
Fractional positions:
1 Hf 0.0000 0.5000 0.4693  10 Hf 2.99-3.20
2 Hf 0.5000 0.0000 0.7492  2 O 2.52
3 Hf 0.5000 0.5000 0.1057  4 O 2.28
4 O 0.0000 0.0000 0.0091  6 Hf 2.28-2.52

Values from the calculation:
E_form (uncorrected) = -0.921 eV/atom
Total moment = 0.00 μB/f.u.
Total DFT energy (no corrections) = -9.63 eV/atom

***

- Look up the total moment of the sixth one.
  0.00 μB/f.u.